The following is a DFT calculation (GGA-PBE) of a relaxed RbGa2OsO8 crystal.

Cell and atoms, written as extended XYZ:
```
12
Lattice="4.6831 0.0000 0.0000 0.0618 4.6891 0.0000 0.3013 0.3037 7.4813" Properties=species:S:1:pos:R:3 pbc="T T T"
Rb 0.0000 0.0000 0.0000
Ga 2.4129 2.3872 2.3210
Ga 2.6333 2.6056 5.1603
Os 0.1506 0.1519 3.7406
O 1.1126 1.0961 4.9667
O 1.0623 1.0467 2.3014
O 1.5973 3.4290 3.7408
O 2.2818 2.2568 6.9916
O 2.7644 2.7360 0.4896
O 3.4488 1.5639 3.7405
O 3.9838 3.9461 5.1799
O 3.9335 3.8967 2.5146
```

Summary:
Its spin magnetization is 0.983 μB per formula unit. As for the density of states at the Fermi level: 1.51 states/eV per cell. The calculation puts the formation energy without anion corrections at -1.192 eV/atom. For the total energy, the calculation gives -6.018 eV/atom. Its space-group type is P-1, No. 2.

---

The following is a DFT calculation (GGA-PBE) of a relaxed CaNb2NiBr crystal.

Cell and atoms, written as extended XYZ:
```
5
Lattice="4.8646 0.0000 0.0000 0.0000 4.8646 0.0000 0.0000 0.0000 4.5440" Properties=species:S:1:pos:R:3 pbc="T T T"
Ca 0.0000 0.0000 0.0000
Nb 0.0000 2.4323 2.2720
Nb 2.4323 0.0000 2.2720
Ni 2.4323 2.4323 0.0000
Br 2.4323 2.4323 2.2720
```

Summary:
Its spin magnetization is 0.000 μB per formula unit. As for the density of states at the Fermi level: 6.61 states/eV per cell. The calculation puts the formation energy without anion corrections at 0.839 eV/atom. For the total energy, the calculation gives -5.080 eV/atom. Its space-group type is P4/mmm, No. 123.

---

The following is a DFT calculation (GGA-PBE) of a relaxed SeSICl2 crystal.

Cell and atoms, written as extended XYZ:
```
5
Lattice="5.4911 0.0000 0.0000 0.0000 5.4911 0.0000 0.0000 0.0000 5.1707" Properties=species:S:1:pos:R:3 pbc="T T T"
Se 0.0000 0.0000 0.0000
S 2.7455 2.7455 0.0000
I 2.7455 2.7455 2.5853
Cl 0.0000 2.7455 2.5853
Cl 2.7455 0.0000 2.5853
```

Summary:
Its spin magnetization is 2.496 μB per formula unit. As for the density of states at the Fermi level: 3.81 states/eV per cell. The calculation puts the formation energy without anion corrections at 0.691 eV/atom. For the total energy, the calculation gives -1.880 eV/atom. Its space-group type is P4/mmm, No. 123. The calculation puts the relative energy among the computed polymorphs at 0.3595 eV/atom.

---

The following is a DFT calculation (GGA-PBE) of a relaxed KNb2F crystal.

Cell and atoms, written as extended XYZ:
```
8
Lattice="-3.3488 3.3488 4.7488 3.3488 -3.3488 4.7488 3.3488 3.3488 -4.7488" Properties=species:S:1:pos:R:3 pbc="T T T"
K 3.3488 1.6744 1.1872
K 0.0000 1.6744 3.5616
Nb 0.0000 0.0000 0.0000
Nb 1.6744 1.6744 -2.3744
Nb 1.6744 -1.6744 2.3744
Nb 0.0000 3.3488 0.0000
F 3.3488 -1.6744 3.5616
F 0.0000 5.0233 1.1872
```

Summary:
Its spin magnetization is 0.000 μB per formula unit. As for the density of states at the Fermi level: 8.66 states/eV per cell. The calculation puts the formation energy without anion corrections at 0.646 eV/atom. For the total energy, the calculation gives -5.131 eV/atom. Its space-group type is I4_1/amd, No. 141. The calculation puts the relative energy among the computed polymorphs at 0.0000 eV/atom.

---

The following is a DFT calculation (GGA-PBE) of a relaxed Rb3TcSe crystal.

Cell and atoms, written as extended XYZ:
```
5
Lattice="6.5866 0.0000 0.0000 0.0000 6.5866 0.0000 0.0000 0.0000 6.5866" Properties=species:S:1:pos:R:3 pbc="T T T"
Rb 0.0000 0.0000 3.2933
Rb 0.0000 3.2933 0.0000
Rb 3.2933 0.0000 0.0000
Tc 3.2933 3.2933 3.2933
Se 0.0000 0.0000 0.0000
```

Summary:
Its spin magnetization is 4.000 μB per formula unit. As for the density of states at the Fermi level: 10.61 states/eV per cell. The calculation puts the formation energy without anion corrections at 0.492 eV/atom. For the total energy, the calculation gives -2.859 eV/atom. Its space-group type is Pm-3m, No. 221. The calculation puts the relative energy among the computed polymorphs at 0.0000 eV/atom.

---

Q: Look up the spin magnetization of the third one.
A: 2.496 μB per formula unit